Entry 1:
Crystalline TaV2Cu at its relaxed geometry. Source: Alexandria, functional PBE-GGA.

Computed properties:
E_form: 0.5883 eV per atom
Polymorph energy (0 for the lowest one): 42.7 kJ/mol of atoms
Volume: 15.33 Å³/atom
VASP energy: -7.9582 eV/atom
Symmetry: No. 122

abc: 6.932 6.932 5.527
angles: 51.16 51.16 90.00
Positions (direct):
1 Ta 0.000 0.000 0.000
2 Ta 0.750 0.250 0.500
3 Cu 0.500 0.500 0.000
4 Cu 0.250 0.750 0.500
5 V 0.605 0.125 0.250
6 V 0.145 0.625 0.250
7 V 0.375 0.395 0.750
8 V 0.875 0.855 0.750

Entry 2:
Crystalline YBe2Ru at its relaxed geometry. Source: Alexandria, functional PBE-GGA.

Computed properties:
E_form: 0.0179 eV per atom
Polymorph energy (0 for the lowest one): 25.9 kJ/mol of atoms
Volume: 14.42 Å³/atom
VASP energy: -5.7802 eV/atom
Symmetry: No. 225

abc: 4.337 4.337 4.337
angles: 60.00 60.00 60.00
Positions (direct):
1 Y 0.000 0.000 0.000
2 Ru 0.500 0.500 0.500
3 Be 0.250 0.250 0.250
4 Be 0.750 0.750 0.750

What did the first record say?
Crystalline TaV2Cu at its relaxed geometry. Source: Alexandria, functional PBE-GGA.

Computed properties:
E_form: 0.5883 eV per atom
Polymorph energy (0 for the lowest one): 42.7 kJ/mol of atoms
Volume: 15.33 Å³/atom
VASP energy: -7.9582 eV/atom
Symmetry: No. 122

abc: 6.932 6.932 5.527
angles: 51.16 51.16 90.00
Positions (direct):
1 Ta 0.000 0.000 0.000
2 Ta 0.750 0.250 0.500
3 Cu 0.500 0.500 0.000
4 Cu 0.250 0.750 0.500
5 V 0.605 0.125 0.250
6 V 0.145 0.625 0.250
7 V 0.375 0.395 0.750
8 V 0.875 0.855 0.750